No. 1
Nd2AlFe2Ni5 after structural relaxation, computed with PBE-GGA.

Calculated values
formation energy from the elements: -0.097 eV/atom

Unit cell a=9.166 b=9.166 c=3.673 alpha=90.00 beta=90.00 gamma=90.00
Space group P4/mbm (No. 127)
Asymmetric unit:
Nd: 0.183 0.317 0.000
Al: 0.000 0.000 0.000
Fe: 0.116 0.616 0.000
Ni: 0.000 0.500 0.500
Ni: 0.056 0.792 0.500

No. 2
Nd3AlFeS7 after structural relaxation, computed with PBE-GGA.

Calculated values
uncorrected formation energy: -1562 meV per atom

Unit cell a=9.7496 b=9.7496 c=6.2927 alpha=90.00 beta=90.00 gamma=120.00
Space group P6_3 (No. 173)
Asymmetric unit:
Nd: 0.1626 0.7877 0.0000
Al: 0.3333 0.6667 0.5750
Fe: 0.0000 0.0000 0.1496
S: 0.0894 0.5264 0.7169
S: 0.0926 0.8827 0.3961
S: 0.3333 0.6667 0.2197